The following is a DFT calculation (PBE-GGA) of an optimized crystal structure of Cs2DyUTe6.

formation energy from raw total energies	-859	kJ/mol of formula units

Cell lengths 8.382, 11.856, 8.381 Å; angles 90.00, 90.00, 90.00 degrees
Sites, in units of the cell vectors:
Cs: 0.250 0.000 0.250
Cs: 0.250 0.500 0.250
Cs: 0.750 0.000 0.750
Cs: 0.750 0.500 0.750
Dy: 0.250 0.250 0.749
Dy: 0.750 0.750 0.251
U: 0.250 0.750 0.751
U: 0.750 0.250 0.249
Te: 0.005 0.750 0.505
Te: 0.005 0.750 0.996
Te: 0.250 0.505 0.750
Te: 0.250 0.995 0.750
Te: 0.495 0.750 0.505
Te: 0.495 0.750 0.996
Te: 0.505 0.250 0.004
Te: 0.505 0.250 0.495
Te: 0.750 0.005 0.250
Te: 0.750 0.495 0.250
Te: 0.995 0.250 0.004
Te: 0.995 0.250 0.495

***

The following is a DFT calculation (PBE-GGA) of an optimized crystal structure of TbCe2Th3Sb6.

formation energy from raw total energies	-1164	kJ/mol of formula units

Cell lengths 10.033, 10.033, 8.979 Å; angles 102.86, 102.86, 25.84 degrees
Sites, in units of the cell vectors:
Tb: 0.000 0.000 0.000
Ce: 0.334 0.334 0.668
Ce: 0.666 0.666 0.332
Th: 0.000 0.000 0.500
Th: 0.332 0.332 0.166
Th: 0.668 0.668 0.834
Sb: 0.164 0.164 0.083
Sb: 0.167 0.167 0.582
Sb: 0.500 0.500 0.245
Sb: 0.500 0.500 0.755
Sb: 0.833 0.833 0.418
Sb: 0.836 0.836 0.917

***

The following is a DFT calculation (PBE-GGA) of an optimized crystal structure of K2NbO3.

formation energy from raw total energies	-1163	kJ/mol of formula units

Cell lengths 6.928, 6.928, 5.598 Å; angles 111.92, 111.92, 66.37 degrees
Sites, in units of the cell vectors:
K: 0.066 0.260 0.052
K: 0.260 0.066 0.552
K: 0.740 0.934 0.448
K: 0.934 0.740 0.948
Nb: 0.431 0.569 0.750
Nb: 0.569 0.431 0.250
O: 0.181 0.819 0.750
O: 0.308 0.424 0.929
O: 0.424 0.308 0.429
O: 0.576 0.692 0.571
O: 0.692 0.576 0.071
O: 0.819 0.181 0.250

***

The following is a DFT calculation (PBE-GGA) of an optimized crystal structure of Cd2MoPb.

final energy	-3.394	eV per atom

Cell lengths 5.035, 5.035, 5.035 Å; angles 60.00, 60.00, 60.00 degrees
Sites, in units of the cell vectors:
Cd: 0.000 0.000 0.000
Cd: 0.250 0.250 0.250
Mo: 0.750 0.750 0.750
Pb: 0.500 0.500 0.500

***

The following is a DFT calculation (PBE-GGA) of an optimized crystal structure of PmHo2Tm.

ΔE to the lowest computed polymorph	0.03	eV/f.u.

Cell lengths 11.650, 11.650, 11.650 Å; angles 17.62, 17.62, 17.62 degrees
Sites, in units of the cell vectors:
Pm: 0.000 0.000 0.000
Ho: 0.581 0.581 0.581
Ho: 0.751 0.751 0.751
Tm: 0.166 0.166 0.166

***

The following is a DFT calculation (PBE-GGA) of an optimized crystal structure of Ac2HoCdHg6.

final energy	-1.604	eV per atom

Cell lengths 7.769, 7.769, 7.769 Å; angles 60.00, 60.00, 60.00 degrees
Sites, in units of the cell vectors:
Ac: 0.250 0.250 0.250
Ac: 0.750 0.750 0.750
Ho: 0.000 0.000 0.000
Cd: 0.500 0.500 0.500
Hg: 0.254 0.254 0.746
Hg: 0.254 0.746 0.254
Hg: 0.254 0.746 0.746
Hg: 0.746 0.254 0.254
Hg: 0.746 0.254 0.746
Hg: 0.746 0.746 0.254

***

The following is a DFT calculation (PBE-GGA) of an optimized crystal structure of VPSe2.

formation energy from raw total energies	168	kJ/mol of formula units

Cell lengths 8.121, 8.121, 8.121 Å; angles 26.00, 26.00, 26.00 degrees
Sites, in units of the cell vectors:
V: 0.000 0.000 0.000
P: 0.500 0.500 0.500
Se: 0.104 0.104 0.104
Se: 0.896 0.896 0.896

***

The following is a DFT calculation (PBE-GGA) of an optimized crystal structure of CsZnF2.

formation energy from raw total energies	-684	kJ/mol of formula units
ΔE to the lowest computed polymorph	0.27	eV/f.u.

Cell lengths 7.937, 7.937, 7.937 Å; angles 26.47, 26.47, 26.47 degrees
Sites, in units of the cell vectors:
Cs: 0.000 0.000 0.000
Zn: 0.500 0.500 0.500
F: 0.416 0.416 0.416
F: 0.584 0.584 0.584

***

The following is a DFT calculation (PBE-GGA) of an optimized crystal structure of Na2Hg3Au2.

ΔE to the lowest computed polymorph	0.08	eV/f.u.

Cell lengths 10.398, 10.398, 3.724 Å; angles 90.00, 90.00, 154.71 degrees
Sites, in units of the cell vectors:
Na: 0.165 0.835 0.000
Na: 0.835 0.165 0.000
Hg: 0.000 0.000 0.000
Hg: 0.427 0.573 0.500
Hg: 0.573 0.427 0.500
Au: 0.289 0.711 0.500
Au: 0.711 0.289 0.500